No. 1
Density functional theory data (GGA-PBEsol) for YCuRu2 after structural relaxation.

## Properties
The total DFT energy (no corrections) is -7.29 eV per atom. The density is 9229 kg/m3. As for the formation enthalpy at 0 K: 0.585 eV/atom. The space group is No. 166.

a = 3.0022 Å, b = 3.0022 Å, c = 8.3551 Å
α = 79.65°, β = 79.65°, γ = 60.00°
Fractional positions:
Cu (0.0000, 0.0000, 0.0000)
Ru (0.2572, 0.2572, 0.2283)
Ru (0.7428, 0.7428, 0.7717)
Y (0.5000, 0.5000, 0.5000)


No. 2
Density functional theory data (GGA-PBEsol) for YCuRu2 after structural relaxation.

## Properties
The total DFT energy (no corrections) is -7.74 eV per atom. The density is 9525 kg/m3. As for the formation enthalpy at 0 K: 0.139 eV/atom. The space group is No. 123.

a = 3.8985 Å, b = 3.8985 Å, c = 4.0675 Å
α = 90.00°, β = 90.00°, γ = 90.00°
Fractional positions:
Cu (0.0000, 0.0000, 0.5000)
Ru (0.0000, 0.5000, 0.0000)
Ru (0.5000, 0.0000, 0.0000)
Y (0.5000, 0.5000, 0.5000)


No. 3
Density functional theory data (GGA-PBEsol) for YCu2Ru after structural relaxation.

## Properties
The total DFT energy (no corrections) is -6.43 eV per atom. The density is 8671 kg/m3. As for the formation enthalpy at 0 K: -0.013 eV/atom. The space group is No. 123.

a = 3.9597 Å, b = 3.9159 Å, c = 3.9159 Å
α = 90.00°, β = 90.00°, γ = 90.00°
Site moments in Bohr magnetons follow the coordinates.
Fractional positions:
Cu (0.0000, 0.0000, 0.5000)  0.00
Cu (0.0000, 0.5000, 0.0000)  0.00
Ru (0.5000, 0.5000, 0.5000)  0.14
Y (0.5000, 0.0000, 0.0000)  0.00


No. 4
Density functional theory data (GGA-PBEsol) for Y2CuRu after structural relaxation.

## Properties
The total DFT energy (no corrections) is -7.00 eV per atom. The density is 6864 kg/m3. As for the formation enthalpy at 0 K: 0.034 eV/atom. The space group is No. 25.

a = 3.3918 Å, b = 4.3568 Å, c = 5.6058 Å
α = 90.00°, β = 90.00°, γ = 90.00°
Fractional positions:
Cu (0.0000, 0.0000, 0.4406)
Ru (0.5000, 0.5000, 0.8192)
Y (0.0000, 0.0000, 0.9174)
Y (0.5000, 0.5000, 0.3228)


No. 5
Density functional theory data (GGA-PBEsol) for ZnCuRu after structural relaxation.

## Properties
The total DFT energy (no corrections) is -5.19 eV per atom. The density is 9891 kg/m3. As for the formation enthalpy at 0 K: 0.176 eV/atom. The space group is No. 42.

a = 2.5754 Å, b = 2.5754 Å, c = 6.5341 Å
α = 96.68°, β = 96.68°, γ = 114.18°
Fractional positions:
Cu (0.9973, 0.9973, 0.9946)
Ru (0.6662, 0.6662, 0.3324)
Zn (0.3365, 0.3365, 0.6730)


No. 6
Density functional theory data (GGA-PBEsol) for ZnCuRu after structural relaxation.

## Properties
The total DFT energy (no corrections) is -4.61 eV per atom. The density is 8174 kg/m3. As for the formation enthalpy at 0 K: 0.757 eV/atom. The space group is No. 216.

a = 4.0429 Å, b = 4.0429 Å, c = 4.0429 Å
α = 60.00°, β = 60.00°, γ = 60.00°
Site moments in Bohr magnetons follow the coordinates.
Fractional positions:
Cu (0.5000, 0.5000, 0.5000)  0.12
Ru (0.2500, 0.2500, 0.2500)  0.79
Zn (0.0000, 0.0000, 0.0000)  0.01


No. 7
Density functional theory data (GGA-PBEsol) for ZnCu2Ru after structural relaxation.

## Properties
The total DFT energy (no corrections) is -4.96 eV per atom. The density is 9853 kg/m3. As for the formation enthalpy at 0 K: 0.148 eV/atom. The space group is No. 119.

a = 3.7134 Å, b = 3.7134 Å, c = 4.4461 Å
α = 114.68°, β = 114.68°, γ = 90.00°
Fractional positions:
Cu (0.0000, 0.0000, 0.0000)
Cu (0.7500, 0.2500, 0.5000)
Ru (0.5000, 0.5000, 0.0000)
Zn (0.2500, 0.7500, 0.5000)


No. 8
Density functional theory data (GGA-PBEsol) for Zr2CuRu after structural relaxation.

## Properties
The total DFT energy (no corrections) is -8.50 eV per atom. The density is 8380 kg/m3. As for the formation enthalpy at 0 K: -0.325 eV/atom. The space group is No. 6.

a = 3.2121 Å, b = 4.3528 Å, c = 5.0092 Å
α = 90.00°, β = 100.92°, γ = 90.00°
Fractional positions:
Ru (0.4265, 0.5000, 0.8038)
Zr (0.9670, 0.0000, 0.9044)
Zr (0.7856, 0.5000, 0.3429)
Cu (0.3208, 0.0000, 0.4490)


No. 9
Density functional theory data (GGA-PBEsol) for Zr2CuRu after structural relaxation.

## Properties
The total DFT energy (no corrections) is -8.34 eV per atom. The density is 8441 kg/m3. As for the formation enthalpy at 0 K: -0.171 eV/atom. The space group is No. 44.

a = 3.2572 Å, b = 4.4026 Å, c = 5.4922 Å
α = 113.63°, β = 107.25°, γ = 90.00°
Fractional positions:
Cu (0.5231, 0.5231, 0.0463)
Ru (0.2461, 0.7461, 0.4922)
Zr (0.9794, 0.9794, 0.9589)
Zr (0.7513, 0.2513, 0.5027)


No. 10
Density functional theory data (GGA-PBEsol) for Zr2CuRu after structural relaxation.

## Properties
The total DFT energy (no corrections) is -8.52 eV per atom. The density is 8544 kg/m3. As for the formation enthalpy at 0 K: -0.351 eV/atom. The space group is No. 123.

a = 3.2033 Å, b = 4.5887 Å, c = 4.5887 Å
α = 90.00°, β = 90.00°, γ = 90.00°
Fractional positions:
Ru (0.5000, 0.0000, 0.0000)
Cu (0.5000, 0.5000, 0.5000)
Zr (0.0000, 0.0000, 0.5000)
Zr (0.0000, 0.5000, 0.0000)


No. 11
Density functional theory data (GGA-PBEsol) for CuS after structural relaxation.

## Properties
The calculation puts the energy relative to the elements, uncorrected at -0.227 eV per atom. The total DFT energy (no corrections) is -4.59 eV per atom. The density is 4880 kg/m3. The space group is No. 194.

a = 3.7357 Å, b = 3.7357 Å, c = 16.1502 Å
α = 90.00°, β = 90.00°, γ = 120.00°
Fractional positions:
Cu (0.3333, 0.6667, 0.1072)
Cu (0.6667, 0.3333, 0.6072)
Cu (0.6667, 0.3333, 0.8928)
Cu (0.3333, 0.6667, 0.3928)
Cu (0.6667, 0.3333, 0.2500)
Cu (0.3333, 0.6667, 0.7500)
S (0.0000, 0.0000, 0.0649)
S (0.0000, 0.0000, 0.5649)
S (0.0000, 0.0000, 0.9351)
S (0.0000, 0.0000, 0.4351)
S (0.6667, 0.3333, 0.7500)
S (0.3333, 0.6667, 0.2500)


No. 12
Density functional theory data (GGA-PBEsol) for Cu2S after structural relaxation.

## Properties
The calculation puts the energy relative to the elements, uncorrected at 0.065 eV per atom. The total DFT energy (no corrections) is -4.29 eV per atom. The density is 6675 kg/m3. The space group is No. 194.

a = 4.2021 Å, b = 4.2021 Å, c = 5.1785 Å
α = 90.00°, β = 90.00°, γ = 120.00°
Fractional positions:
S (0.3333, 0.6667, 0.2500)
S (0.6667, 0.3333, 0.7500)
Cu (0.0000, 0.0000, 0.2500)
Cu (0.6667, 0.3333, 0.2500)
Cu (0.3333, 0.6667, 0.7500)
Cu (0.0000, 0.0000, 0.7500)